# Mo3RhO

Mo3RhO after structural relaxation (GGA+U, the Alexandria database).

Magnetic moment (μB per formula unit): 0.00
Space-group type: Pm-3m
Excess energy over the best structure of this formula in the dataset (eV per formula unit): 0.000

Unit cell a=4.1330 b=4.1330 c=4.1330 alpha=90.00 beta=90.00 gamma=90.00
Positions (direct):
Mo 0.0000 0.0000 0.5000
Mo 0.0000 0.5000 0.0000
Mo 0.5000 0.0000 0.0000
Rh 0.5000 0.5000 0.5000
O 0.0000 0.0000 0.0000